Record 1
Below is Y3Ga9Cu2 after structural relaxation, with properties calculated at the PBE level.

The calculation puts the electronic total energy at -123.475 eV for the cell shown. For the formation energy, the calculation gives -0.4937 eV per atom.

The structure belongs to space group Immm (No. 71); the cell edges are 4.2005, 9.9954 and 12.2235 Å and the angles 90.00°, 90.00° and 90.00°. The asymmetric unit holds Y at (0.0000, 0.0000, 0.0000), Y at (0.0000, 0.0000, 0.3199), Ga at (0.0000, 0.2772, 0.1303), Ga at (0.0000, 0.3725, 0.3373), Ga at (0.0000, 0.5000, 0.0000) and Cu at (0.0000, 0.2202, 0.5000).

***

Record 2
Below is Y2GaCu3 after structural relaxation, with properties calculated at the PBE level.

The calculation puts the electronic total energy at -243.313 eV for the cell shown. For the formation energy, the calculation gives -0.3618 eV per atom. The value obtained for the energy above the most stable polymorph in this dataset is 0.0 meV per atom.

The structure belongs to space group Fmmm (No. 69); the cell edges are 7.1846, 8.5986 and 14.9024 Å and the angles 90.00°, 90.00° and 90.00°. The asymmetric unit holds Y at (0.2419, 0.0000, 0.0000), Y at (0.2500, 0.2500, 0.2500), Ga at (0.0000, 0.0000, 0.3342), Cu at (0.0000, 0.0000, 0.1666) and Cu at (0.0000, 0.2488, 0.4169).

***

Record 3
Below is Y6Ga2Cu after structural relaxation, with properties calculated at the PBE level.

The calculation puts the electronic total energy at -102.684 eV for the cell shown. For the formation energy, the calculation gives -0.2675 eV per atom.

The structure belongs to space group P2_1/c (No. 14); the cell edges are 6.2956, 8.1265 and 11.0968 Å and the angles 90.00°, 120.74° and 90.00°. The asymmetric unit holds Y at (0.0806, 0.1692, 0.4403), Y at (0.3155, 0.6836, 0.4377), Y at (0.4006, 0.0377, 0.2684), Ga at (0.1830, 0.1254, 0.7512) and Cu at (0.0000, 0.0000, 0.0000).

***

Record 4
Below is Y7Ga2Cu2 after structural relaxation, with properties calculated at the PBE level.

The calculation puts the electronic total energy at -121.375 eV for the cell shown. For the formation energy, the calculation gives -0.1084 eV per atom.

The structure belongs to space group Cmmm (No. 65); the cell edges are 7.7008, 11.0756 and 6.9690 Å and the angles 90.00°, 90.00° and 90.00°. The asymmetric unit holds Y at (0.0000, 0.0000, 0.0000), Y at (0.0000, 0.5000, 0.2537), Y at (0.2500, 0.2500, 0.2643), Ga at (0.1666, 0.0000, 0.5000) and Cu at (0.0000, 0.2972, 0.0000).

***

Record 5
Below is Y2GaCu7 after structural relaxation, with properties calculated at the PBE level.

The calculation puts the electronic total energy at -46.618 eV for the cell shown. For the formation energy, the calculation gives -0.1990 eV per atom.

The structure belongs to space group P-4m2 (No. 115); the cell edges are 3.8519, 3.8519 and 11.0313 Å and the angles 90.00°, 90.00° and 90.00°. The asymmetric unit holds Y at (0.0000, 0.5000, 0.2467), Ga at (0.0000, 0.0000, 0.5000), Cu at (0.0000, 0.0000, 0.0000), Cu at (0.0000, 0.5000, 0.6444), Cu at (0.0000, 0.5000, 0.8631), Cu at (0.5000, 0.5000, 0.0000) and Cu at (0.5000, 0.5000, 0.5000).

***

Record 6
Below is Y2GaCu3 after structural relaxation, with properties calculated at the PBE level.

The calculation puts the electronic total energy at -60.468 eV for the cell shown. For the formation energy, the calculation gives -0.3317 eV per atom. The value obtained for the energy above the most stable polymorph in this dataset is 30.0 meV per atom.

The structure belongs to space group Imm2 (No. 44); the cell edges are 3.8399, 4.0617 and 15.0880 Å and the angles 90.00°, 90.00° and 90.00°. The asymmetric unit holds Y at (0.0000, 0.0000, 0.0000), Y at (0.0000, 0.5000, 0.2589), Ga at (0.0000, 0.0000, 0.5907), Cu at (0.0000, 0.0000, 0.4273), Cu at (0.0000, 0.5000, 0.6739) and Cu at (0.0000, 0.5000, 0.8345).

***

Record 7
Below is Y4Ga3Cu after structural relaxation, with properties calculated at the PBE level.

The calculation puts the electronic total energy at -43.173 eV for the cell shown. For the formation energy, the calculation gives -0.5175 eV per atom.

The structure belongs to space group P4/mmm (No. 123); the cell edges are 5.0276, 5.0276 and 7.1673 Å and the angles 90.00°, 90.00° and 90.00°. The asymmetric unit holds Y at (0.0000, 0.5000, 0.2471), Ga at (0.0000, 0.0000, 0.0000), Ga at (0.0000, 0.0000, 0.5000), Ga at (0.5000, 0.5000, 0.5000) and Cu at (0.5000, 0.5000, 0.0000).

***

Record 8
Below is Y3GaCu2 after structural relaxation, with properties calculated at the PBE level.

The calculation puts the electronic total energy at -65.624 eV for the cell shown. For the formation energy, the calculation gives -0.3668 eV per atom. The value obtained for the energy above the most stable polymorph in this dataset is 0.0 meV per atom.

The structure belongs to space group P-3m1 (No. 164); the cell edges are 4.9827, 4.9827 and 12.2217 Å and the angles 90.00°, 90.00° and 120.00°. The asymmetric unit holds Y at (0.0000, 0.0000, 0.2444), Y at (0.3333, 0.6667, 0.4163), Y at (0.3333, 0.6667, 0.9214), Ga at (0.3333, 0.6667, 0.6683), Cu at (0.0000, 0.0000, 0.0000), Cu at (0.0000, 0.0000, 0.5000) and Cu at (0.3333, 0.6667, 0.1677).

***

Record 9
Below is YGaCu2 after structural relaxation, with properties calculated at the PBE level.

The calculation puts the electronic total energy at -36.392 eV for the cell shown. For the formation energy, the calculation gives -0.1282 eV per atom.

The structure belongs to space group Amm2 (No. 38); the cell edges are 3.4413, 6.2454 and 7.1652 Å and the angles 90.00°, 90.00° and 90.00°. The asymmetric unit holds Y at (0.0000, 0.0000, 0.0000), Ga at (0.5000, 0.0000, 0.5935) and Cu at (0.5000, 0.1918, 0.2940).

***

Record 10
Below is YGa2Cu2 after structural relaxation, with properties calculated at the PBE level.

The calculation puts the electronic total energy at -45.520 eV for the cell shown. For the formation energy, the calculation gives -0.4100 eV per atom.

The structure belongs to space group I4/mmm (No. 139); the cell edges are 4.0315, 4.0315 and 10.6465 Å and the angles 90.00°, 90.00° and 90.00°. The asymmetric unit holds Y at (0.0000, 0.0000, 0.0000), Ga at (0.0000, 0.5000, 0.2500) and Cu at (0.0000, 0.0000, 0.3877).

***

Record 11
Below is Y4GaCu after structural relaxation, with properties calculated at the PBE level.

The calculation puts the electronic total energy at -137.431 eV for the cell shown. For the formation energy, the calculation gives -0.2297 eV per atom.

The structure belongs to space group C2/c (No. 15); the cell edges are 8.9714, 13.5572 and 6.2081 Å and the angles 90.00°, 122.02° and 90.00°. The asymmetric unit holds Y at (0.1253, 0.1865, 0.0963), Y at (0.2073, 0.4339, 0.2996), Ga at (0.0000, 0.3706, 0.7500) and Cu at (0.0000, 0.0020, 0.7500).

***

Record 12
Below is Y3Ga2Cu9 after structural relaxation, with properties calculated at the PBE level.

The calculation puts the electronic total energy at -132.285 eV for the cell shown. For the formation energy, the calculation gives -0.2736 eV per atom.

The structure belongs to space group Immm (No. 71); the cell edges are 4.2278, 8.6802 and 12.4628 Å and the angles 90.00°, 90.00° and 90.00°. The asymmetric unit holds Y at (0.0000, 0.0000, 0.0000), Y at (0.0000, 0.0000, 0.2937), Ga at (0.0000, 0.1915, 0.5000), Cu at (0.0000, 0.2855, 0.1321), Cu at (0.0000, 0.3563, 0.3353) and Cu at (0.0000, 0.5000, 0.0000).